A.
Density functional theory data (PBE) for an optimized crystal structure of CaSbC3.

a = 4.423 Å, b = 4.423 Å, c = 4.423 Å
α = 90.00°, β = 90.00°, γ = 90.00°
Element x y z (fractional)
C (0.000, 0.500, 0.000)
C (0.500, 0.000, 0.000)
C (0.000, 0.000, 0.500)
Ca (0.000, 0.000, 0.000)
Sb (0.500, 0.500, 0.500)

---

B.
Density functional theory data (PBE) for an optimized crystal structure of CaSbC3.

a = 4.297 Å, b = 4.297 Å, c = 4.297 Å
α = 90.00°, β = 90.00°, γ = 90.00°
Element x y z (fractional)
C (0.000, 0.500, 0.000)
C (0.000, 0.000, 0.500)
C (0.500, 0.000, 0.000)
Sb (0.000, 0.000, 0.000)
Ca (0.500, 0.500, 0.500)

---

It is A that is the least stable of them.

---

A.
Density functional theory data (PBE) for an optimized crystal structure of Ca2ScSbC.

a = 6.178 Å, b = 4.216 Å, c = 6.178 Å
α = 90.00°, β = 90.00°, γ = 90.00°
Each line ends with the local moment (μB).
Element x y z (fractional)
Ca (0.500, 0.000, 0.000)  0.09
Ca (0.000, 0.000, 0.500)  0.07
Sb (0.000, 0.000, 0.000)  0.02
Sc (0.500, 0.500, 0.500)  0.76
C (0.000, 0.500, 0.000)  -0.04

---

B.
Density functional theory data (PBE) for an optimized crystal structure of Ca2ScSbC.

a = 4.971 Å, b = 4.971 Å, c = 4.569 Å
α = 90.00°, β = 90.00°, γ = 90.00°
Element x y z (fractional)
Ca (0.500, 0.000, 0.000)
Ca (0.000, 0.500, 0.000)
Sc (0.000, 0.000, 0.500)
C (0.000, 0.000, 0.000)
Sb (0.500, 0.500, 0.500)

---

It is A that is the least stable of them.

---

A.
Density functional theory data (PBE) for an optimized crystal structure of CaSb2TeC.

a = 5.823 Å, b = 5.823 Å, c = 5.668 Å
α = 90.00°, β = 90.00°, γ = 90.00°
Each line ends with the local moment (μB).
Element x y z (fractional)
C (0.500, 0.500, 0.500)  0.94
Sb (0.500, 0.000, 0.000)  -0.08
Sb (0.000, 0.500, 0.000)  -0.08
Ca (0.000, 0.000, 0.000)  0.01
Te (0.000, 0.000, 0.500)  0.07

---

B.
Density functional theory data (PBE) for an optimized crystal structure of CaSb2TeC.

a = 4.765 Å, b = 4.765 Å, c = 5.340 Å
α = 90.00°, β = 90.00°, γ = 90.00°
Element x y z (fractional)
Ca (0.500, 0.500, 0.500)
Sb (0.500, 0.000, 0.000)
Sb (0.000, 0.500, 0.000)
Te (0.000, 0.000, 0.500)
C (0.000, 0.000, 0.000)

---

It is A that is the least stable of them.